{"formula": "SrH2Br2O", "functional": "PBEsol", "state": "optimized geometry", "lattice_angstrom": [[4.239, 0.000, 0.000], [0.000, 9.239, 0.000], [0.000, 0.000, 11.175]], "species": ["H", "H", "H", "H", "H", "H", "H", "H", "O", "O", "O", "O", "Br", "Br", "Br", "Br", "Br", "Br", "Br", "Br", "Sr", "Sr", "Sr", "Sr"], "fractional_positions": [[0.750, 0.498, 0.135], [0.250, 0.834, 0.400], [0.250, 0.998, 0.365], [0.250, 0.502, 0.865], [0.250, 0.666, 0.900], [0.750, 0.002, 0.635], [0.750, 0.166, 0.600], [0.750, 0.334, 0.100], [0.750, 0.400, 0.171], [0.250, 0.900, 0.329], [0.250, 0.600, 0.829], [0.750, 0.100, 0.671], [0.250, 0.381, 0.603], [0.750, 0.619, 0.397], [0.250, 0.662, 0.113], [0.250, 0.119, 0.103], [0.250, 0.838, 0.613], [0.750, 0.162, 0.387], [0.750, 0.338, 0.887], [0.750, 0.881, 0.897], [0.750, 0.892, 0.191], [0.250, 0.392, 0.309], [0.750, 0.608, 0.691], [0.250, 0.108, 0.809]], "density_g_cm3": 4.0, "energy_ev_per_atom": -4.516}